Entry 1:
This record from Alexandria via LeMat-Bulk describes an optimized crystal structure of KAgMo. The functional is PBE-GGA.

Cell: 5.321 5.321 5.321 Å, 60.00 60.00 60.00°
Site moments in Bohr magnetons follow the coordinates.
Fractional positions:
Mo 0.000 0.000 0.000  3.90
K 0.750 0.750 0.750  0.05
Ag 0.500 0.500 0.500  0.01

Results
ΔE to the lowest computed polymorph = 1.2798 eV per atom
SG = F-43m
formation enthalpy at 0 K = 1.94 eV/atom
D(E_F) = 2.12 states/eV per cell
V = 35.5 A^3/atom
crystal system = cubic

---

Entry 2:
This record from Alexandria via LeMat-Bulk describes an optimized crystal structure of ZrPdWSe2. The functional is PBE-GGA.

Cell: 4.761 5.401 4.761 Å, 90.00 90.00 90.00°
Fractional positions:
Zr 0.000 0.500 0.000
Se 0.500 0.000 0.000
Se 0.000 0.000 0.500
Pd 0.500 0.500 0.500
W 0.000 0.000 0.000

Results
SG = P4/mmm
D(E_F) = 4.91 states/eV per cell
raw formation energy = 0.62 eV per atom
V = 24.5 A^3/atom
crystal system = tetragonal

---

Entry 3:
This record from Alexandria via LeMat-Bulk describes an optimized crystal structure of AgP2SI. The functional is PBE-GGA.

Cell: 4.940 4.940 4.779 Å, 90.00 90.00 90.00°
Fractional positions:
P 0.500 0.000 0.000
P 0.000 0.500 0.000
Ag 0.000 0.000 0.000
S 0.000 0.000 0.500
I 0.500 0.500 0.500

Results
ΔE to the lowest computed polymorph = 0.0000 eV per atom
SG = P4/mmm
D(E_F) = 5.86 states/eV per cell
raw formation energy = 1.09 eV per atom
V = 23.3 A^3/atom
crystal system = tetragonal

---

Entry 4:
This record from Alexandria via LeMat-Bulk describes an optimized crystal structure of NaAs2POs. The functional is PBE-GGA.

Cell: 4.980 4.980 4.371 Å, 90.00 90.00 90.00°
Fractional positions:
Os 0.000 0.000 0.500
As 0.500 0.000 0.000
As 0.000 0.500 0.000
P 0.000 0.000 0.000
Na 0.500 0.500 0.500

Results
SG = P4/mmm
formation enthalpy at 0 K = 0.68 eV/atom
D(E_F) = 2.47 states/eV per cell
V = 21.7 A^3/atom
crystal system = tetragonal

---

Entry 5:
This record from Alexandria via LeMat-Bulk describes an optimized crystal structure of PmNd2ErBi4. The functional is PBE-GGA.

Cell: 4.566 7.902 7.900 Å, 109.49 90.00 90.00°
Fractional positions:
Er 0.500 0.500 0.000
Bi 0.000 0.257 0.758
Bi 0.500 0.748 0.755
Bi 0.500 0.252 0.245
Bi 0.000 0.743 0.242
Pm 0.000 0.000 0.000
Nd 0.500 0.000 0.500
Nd 0.000 0.500 0.500

Results
SG = P2/m
formation enthalpy at 0 K = -0.91 eV/atom
D(E_F) = 1.20 states/eV per cell
V = 33.6 A^3/atom
crystal system = monoclinic

---

Entry 6:
This record from Alexandria via LeMat-Bulk describes an optimized crystal structure of LiDyZrZn. The functional is PBE-GGA.

Cell: 4.902 4.902 4.902 Å, 60.00 60.00 60.00°
Fractional positions:
Li 0.500 0.500 0.500
Dy 0.250 0.250 0.250
Zr 0.750 0.750 0.750
Zn 0.000 0.000 0.000

Results
SG = F-43m
formation enthalpy at 0 K = -0.01 eV/atom
D(E_F) = 3.61 states/eV per cell
V = 20.8 A^3/atom
crystal system = cubic

---

Entry 7:
This record from Alexandria via LeMat-Bulk describes an optimized crystal structure of LiZn2Cl. The functional is PBE-GGA.

Cell: 7.281 7.281 7.281 Å, 151.81 151.81 40.29°
Fractional positions:
Zn 0.500 0.500 0.000
Zn 0.000 0.000 0.000
Li 0.750 0.250 0.500
Cl 0.250 0.750 0.500

Results
ΔE to the lowest computed polymorph = 0.0005 eV per atom
SG = I4/mmm
D(E_F) = 0.88 states/eV per cell
raw formation energy = -0.57 eV per atom
V = 21.5 A^3/atom
crystal system = tetragonal

---

Entry 8:
This record from Alexandria via LeMat-Bulk describes an optimized crystal structure of ThV2Si2C. The functional is PBE-GGA.

Cell: 4.100 4.100 5.409 Å, 90.00 90.00 90.00°
Fractional positions:
V 0.000 0.500 0.000
V 0.500 0.000 0.000
Si 0.500 0.500 0.275
Si 0.500 0.500 0.725
C 0.000 0.000 0.000
Th 0.000 0.000 0.500

Results
SG = P4/mmm
D(E_F) = 5.12 states/eV per cell
raw formation energy = -0.65 eV per atom
V = 15.2 A^3/atom
crystal system = tetragonal